Crystalline Y2ScHg at its relaxed geometry, computed with GGA-PBE.

Values from the calculation:
Mass density: 6.68 Mg/m³
Density of states at the Fermi level: 1.5105 states/eV per atom
DFT total energy: -5.011 eV/atom

Cell: 4.623 4.623 9.855 Å, 90.00 90.00 90.00°
Space group I-4m2 (No. 119)
One atom of each set of equivalent atoms:
Y 0.000 0.000 0.000 x2
Y 0.000 0.500 0.250 x2
Sc 0.000 0.000 0.500 x2
Hg 0.000 0.500 0.750 x2